An optimized crystal structure of YBe4Ir2Pt. Source: the Alexandria database, functional GGA-PBE.

## Properties
Final energy ... -6.25 eV per atom
ρ ... 10.9 g cm⁻³
Formation energy from the elements ... -0.613 eV/atom
Symmetry ... R-3m, No. 166

```
data_YBe4Ir2Pt
_chemical_formula_sum 'Y1 Be4 Ir2 Pt1'
_cell_length_a 3.911
_cell_length_b 3.911
_cell_length_c 8.401
_cell_angle_alpha 76.54
_cell_angle_beta 76.54
_cell_angle_gamma 60.00
_space_group_name_H-M_alt 'P 1'
_space_group_IT_number 1
loop_
_space_group_symop_operation_xyz
'x,y,z'
loop_
_atom_site_label
_atom_site_type_symbol
_atom_site_fract_x
_atom_site_fract_y
_atom_site_fract_z
_atom_site_occupancy
Pt1 Pt 0.500 0.500 0.500 1
Be1 Be 0.871 0.871 0.386 1
Be2 Be 0.407 0.407 0.779 1
Be3 Be 0.593 0.593 0.221 1
Be4 Be 0.129 0.129 0.614 1
Ir1 Ir 0.759 0.759 0.722 1
Ir2 Ir 0.241 0.241 0.278 1
Y1 Y 0.000 0.000 0.000 1
```



An optimized crystal structure of YBeIrPt2. Source: the Alexandria database, functional GGA-PBE.

## Properties
Final energy ... -6.96 eV per atom
ρ ... 14.0 g cm⁻³
Formation energy from the elements ... -0.737 eV/atom
Symmetry ... P4/mmm, No. 123

```
data_YBeIrPt2
_chemical_formula_sum 'Y1 Be1 Ir1 Pt2'
_cell_length_a 4.337
_cell_length_b 4.337
_cell_length_c 4.302
_cell_angle_alpha 90.00
_cell_angle_beta 90.00
_cell_angle_gamma 90.00
_space_group_name_H-M_alt 'P 1'
_space_group_IT_number 1
loop_
_space_group_symop_operation_xyz
'x,y,z'
loop_
_atom_site_label
_atom_site_type_symbol
_atom_site_fract_x
_atom_site_fract_y
_atom_site_fract_z
_atom_site_occupancy
Be1 Be 0.000 0.000 0.000 1
Y1 Y 0.500 0.500 0.500 1
Pt1 Pt 0.000 0.500 0.000 1
Pt2 Pt 0.500 0.000 0.000 1
Ir1 Ir 0.000 0.000 0.500 1
```



An optimized crystal structure of PuBe2Ir2. Source: the Alexandria database, functional GGA-PBE.

## Properties
Final energy ... -8.37 eV per atom
ρ ... 14.4 g cm⁻³
Formation energy from the elements ... -0.467 eV/atom
Symmetry ... I4/mmm, No. 139

```
data_PuBe2Ir2
_chemical_formula_sum 'Pu1 Be2 Ir2'
_cell_length_a 4.064
_cell_length_b 4.064
_cell_length_c 5.350
_cell_angle_alpha 112.33
_cell_angle_beta 112.33
_cell_angle_gamma 90.00
_space_group_name_H-M_alt 'P 1'
_space_group_IT_number 1
loop_
_space_group_symop_operation_xyz
'x,y,z'
loop_
_atom_site_label
_atom_site_type_symbol
_atom_site_fract_x
_atom_site_fract_y
_atom_site_fract_z
_atom_site_occupancy
Ir1 Ir 0.250 0.750 0.500 1
Ir2 Ir 0.750 0.250 0.500 1
Be1 Be 0.631 0.631 0.261 1
Be2 Be 0.369 0.369 0.739 1
Pu1 Pu 0.000 0.000 0.000 1
```



An optimized crystal structure of PuBeIr. Source: the Alexandria database, functional GGA-PBE.

## Properties
Energy above the lowest structure with this stoichiometry ... 0.0668 eV per atom
Final energy ... -9.30 eV per atom
ρ ... 15.5 g cm⁻³
Formation energy from the elements ... -0.328 eV/atom
Symmetry ... I4mm, No. 107

```
data_PuBeIr
_chemical_formula_sum 'Pu1 Be1 Ir1'
_cell_length_a 2.995
_cell_length_b 2.995
_cell_length_c 5.713
_cell_angle_alpha 105.20
_cell_angle_beta 105.20
_cell_angle_gamma 90.00
_space_group_name_H-M_alt 'P 1'
_space_group_IT_number 1
loop_
_space_group_symop_operation_xyz
'x,y,z'
loop_
_atom_site_label
_atom_site_type_symbol
_atom_site_fract_x
_atom_site_fract_y
_atom_site_fract_z
_atom_site_occupancy
Ir1 Ir 0.706 0.706 0.412 1
Be1 Be 0.295 0.295 0.589 1
Pu1 Pu 0.999 0.999 0.999 1
```